# Rb2CdGa4Au3 PBE optimized geometry
data_Rb2CdGa4Au3
_chemical_formula_sum 'Rb2 Cd1 Ga4 Au3'
_symmetry_space_group_name_H-M 'P -4 m 2'
_symmetry_Int_Tables_number 115
_symmetry_space_group_name_Hall 'P -4 -2'
_cell_length_a 4.8230
_cell_length_b 4.8230
_cell_length_c 10.6819
_cell_angle_alpha 90.00
_cell_angle_beta 90.00
_cell_angle_gamma 90.00
loop_
_atom_site_label
_atom_site_type_symbol
_atom_site_fract_x
_atom_site_fract_y
_atom_site_fract_z
Rb1 Rb 0.0000 0.5000 0.2470
Cd1 Cd 0.0000 0.0000 0.5000
Ga1 Ga 0.0000 0.0000 0.0000
Ga2 Ga 0.0000 0.5000 0.6302
Ga3 Ga 0.5000 0.5000 0.0000
Au1 Au 0.0000 0.5000 0.8828
Au2 Au 0.5000 0.5000 0.5000
# - theoretical density (g/cm³) = 7.71
# - calculated total energy (eV per atom) = -2.688
# - total moment (μB per atom) = 0.000
# - DOS(E_F) (states/eV/cell) = 4.8
# - formation energy (eV per atom) = -0.21